1.
Below is a relaxed structure of CrCo4Se, with properties calculated at the PBE level.

Values from the calculation:
**Calculated density**: 7.8 g cm⁻³
**Energy**: -6.517 eV/atom
**Formation energy from raw total energies**: 2.4 eV per formula unit
**Total moment**: 10.14 μB per formula unit

Cell: 4.801 4.801 4.801 Å, 60.00 60.00 60.00°
Sites, in units of the cell vectors:
Cr1 0.000 0.000 0.000
Co1 0.375 0.375 0.375
Co2 0.375 0.375 0.876
Co3 0.375 0.876 0.375
Co4 0.876 0.375 0.375
Se1 0.750 0.750 0.750

***

2.
Below is a relaxed structure of CrCoSe4, with properties calculated at the PBE level.

Values from the calculation:
**Calculated density**: 5.6 g cm⁻³
**Energy**: -4.115 eV/atom
**Formation energy from raw total energies**: 6.0 eV per formula unit
**Total moment**: 2.48 μB per formula unit

Cell: 5.641 5.641 5.641 Å, 60.00 60.00 60.00°
Sites, in units of the cell vectors:
Cr1 0.000 0.000 0.000
Co1 0.250 0.250 0.250
Se1 0.127 0.624 0.624
Se2 0.624 0.127 0.624
Se3 0.624 0.624 0.127
Se4 0.624 0.624 0.624

***

3.
Below is a relaxed structure of CrCoSe, with properties calculated at the PBE level.

Values from the calculation:
**Calculated density**: 8.1 g cm⁻³
**Energy**: -6.456 eV/atom
**Formation energy from raw total energies**: 0.8 eV per formula unit
**Total moment**: 0.97 μB per formula unit

Cell: 4.916 4.916 4.916 Å, 145.07 145.07 50.22°
Sites, in units of the cell vectors:
Cr1 0.000 0.000 0.000
Co1 0.328 0.328 0.000
Se1 0.653 0.653 0.000

***

4.
Below is a relaxed structure of CrCoSe, with properties calculated at the PBE level.

Values from the calculation:
**Calculated density**: 7.0 g cm⁻³
**Energy**: -6.659 eV/atom
**Formation energy from raw total energies**: 0.2 eV per formula unit
**Total moment**: 3.00 μB per formula unit

Cell: 3.996 3.996 3.996 Å, 60.00 60.00 60.00°
Sites, in units of the cell vectors:
Cr1 0.000 0.000 0.000
Co1 0.750 0.750 0.750
Se1 0.500 0.500 0.500

***

5.
Below is a relaxed structure of Cr3CoSe, with properties calculated at the PBE level.

Values from the calculation:
**Calculated density**: 6.2 g cm⁻³
**Energy**: -6.493 eV/atom
**Formation energy from raw total energies**: 7.0 eV per formula unit
**Total moment**: 0.00 μB per formula unit

Cell: 4.296 4.296 4.296 Å, 90.00 90.00 90.00°
Sites, in units of the cell vectors:
Cr1 0.000 0.000 0.500
Cr2 0.000 0.500 0.000
Cr3 0.500 0.000 0.000
Co1 0.500 0.500 0.500
Se1 0.000 0.000 0.000

***

6.
Below is a relaxed structure of CrCoSe4, with properties calculated at the PBE level.

Values from the calculation:
**Calculated density**: 5.9 g cm⁻³
**Energy**: -5.446 eV/atom
**Formation energy from raw total energies**: -2.0 eV per formula unit
**Total moment**: 2.38 μB per formula unit

Cell: 6.697 6.697 5.940 Å, 116.24 116.24 30.22°
Sites, in units of the cell vectors:
Cr1 0.000 0.000 0.000
Co1 0.500 0.500 0.500
Se1 0.119 0.119 0.466
Se2 0.376 0.376 0.049
Se3 0.624 0.624 0.951
Se4 0.881 0.881 0.534